a.
Material: Tm3ScPb4
Method: DFT, PBE-GGA
State: optimized geometry

Lattice parameters (Å, degrees): 6.2963 6.2968 10.9317 90.00 90.00 90.00
Element x y z (fractional)
1 Sc 0.4997 0.8107 0.0000
2 Sc 0.5003 0.3107 0.5000
3 Pb 0.9996 0.8104 0.0000
4 Pb 0.4996 0.3104 0.0000
5 Pb 0.7535 0.0608 0.7498
6 Pb 0.2465 0.5608 0.7502
7 Pb 0.5004 0.8104 0.5000
8 Pb 0.0004 0.3104 0.5000
9 Pb 0.2465 0.5608 0.2498
10 Pb 0.7535 0.0608 0.2502
11 Tm 0.9995 0.3103 0.0000
12 Tm 0.2559 0.0607 0.7500
13 Tm 0.7441 0.5607 0.7500
14 Tm 0.0005 0.8103 0.5000
15 Tm 0.7441 0.5607 0.2500
16 Tm 0.2559 0.0607 0.2500

Summary:
**Volume**: 27.09 Å³ per atom
**Total magnetic moment**: 0.00 Bohr magnetons per cell

***

b.
Material: Tm3ScPb4
Method: DFT, PBE-GGA
State: optimized geometry

Lattice parameters (Å, degrees): 6.2069 11.4243 6.6752 90.00 90.00 90.00
Element x y z (fractional)
1 Tm 0.6756 0.8627 0.0000
2 Tm 0.0663 0.6450 0.2486
3 Tm 0.5663 0.3550 0.2514
4 Tm 0.1756 0.1373 0.5000
5 Tm 0.5663 0.3550 0.7486
6 Tm 0.0663 0.6450 0.7514
7 Sc 0.9523 0.1509 0.0000
8 Sc 0.4523 0.8491 0.5000
9 Pb 0.1662 0.8981 0.0000
10 Pb 0.4586 0.1212 0.0000
11 Pb 0.0649 0.3729 0.2522
12 Pb 0.5649 0.6271 0.2478
13 Pb 0.9586 0.8788 0.5000
14 Pb 0.6662 0.1019 0.5000
15 Pb 0.5649 0.6271 0.7522
16 Pb 0.0649 0.3729 0.7478

Summary:
**Volume**: 29.58 Å³ per atom
**Total magnetic moment**: 0.00 Bohr magnetons per cell

***

Most stable to least stable, the ends of the list are a and b.

***

a.
Material: Tm3ScPb3
Method: DFT, PBE-GGA
State: optimized geometry

Lattice parameters (Å, degrees): 9.1906 9.1906 9.1906 90.00 90.00 90.00
Element x y z (fractional)
1 Tm 0.8224 0.3224 0.1776
2 Tm 0.9315 0.9315 0.9315
3 Tm 0.8218 0.6782 0.3218
4 Tm 0.1776 0.8224 0.3224
5 Tm 0.1782 0.1782 0.1782
6 Tm 0.3218 0.8218 0.6782
7 Tm 0.0685 0.4315 0.5685
8 Tm 0.3224 0.1776 0.8224
9 Tm 0.6782 0.3218 0.8218
10 Tm 0.6776 0.6776 0.6776
11 Tm 0.5685 0.0685 0.4315
12 Tm 0.4315 0.5685 0.0685
13 Sc 0.0747 0.5747 0.9253
14 Sc 0.9253 0.0747 0.5747
15 Sc 0.4253 0.4253 0.4253
16 Sc 0.5747 0.9253 0.0747
17 Pb 0.7568 0.6267 0.9987
18 Pb 0.8733 0.0013 0.2568
19 Pb 0.9987 0.7568 0.6267
20 Pb 0.1267 0.5013 0.2432
21 Pb 0.2432 0.1267 0.5013
22 Pb 0.2568 0.8733 0.0013
23 Pb 0.0013 0.2568 0.8733
24 Pb 0.3733 0.4987 0.7432
25 Pb 0.5013 0.2432 0.1267
26 Pb 0.6267 0.9987 0.7568
27 Pb 0.7432 0.3733 0.4987
28 Pb 0.4987 0.7432 0.3733

Summary:
**Volume**: 27.73 Å³ per atom
**Total magnetic moment**: 0.00 Bohr magnetons per cell

***

b.
Material: Tm3ScPb3
Method: DFT, PBE-GGA
State: optimized geometry

Lattice parameters (Å, degrees): 8.3963 8.3963 6.7674 91.19 91.19 113.93
Element x y z (fractional)
1 Tm 0.5648 0.5648 0.2647
2 Tm 0.1562 0.8438 0.5000
3 Tm 0.8438 0.1562 0.5000
4 Tm 0.1945 0.8055 0.0000
5 Tm 0.8055 0.1945 0.0000
6 Tm 0.4352 0.4352 0.7353
7 Sc 0.7970 0.7970 0.7790
8 Sc 0.2030 0.2030 0.2210
9 Pb 0.8855 0.8855 0.2173
10 Pb 0.8594 0.4950 0.7123
11 Pb 0.4950 0.8594 0.7123
12 Pb 0.1406 0.5050 0.2877
13 Pb 0.5050 0.1406 0.2877
14 Pb 0.1145 0.1145 0.7827

Summary:
**Volume**: 31.13 Å³ per atom
**Total magnetic moment**: 0.00 Bohr magnetons per cell

***

Most stable to least stable, the ends of the list are a and b.

***

a.
Material: TmSc3Pb2
Method: DFT, PBE-GGA
State: optimized geometry

Lattice parameters (Å, degrees): 4.3643 4.3643 8.0705 90.00 90.00 90.00
Element x y z (fractional)
1 Tm 0.5000 0.5000 0.0000
2 Sc 0.5000 0.0000 0.3352
3 Sc 0.0000 0.5000 0.6648
4 Sc 0.0000 0.0000 0.0000
5 Pb 0.5000 0.0000 0.7097
6 Pb 0.0000 0.5000 0.2903

Summary:
**Volume**: 25.62 Å³ per atom
**Total magnetic moment**: 0.00 Bohr magnetons per cell

***

b.
Material: TmSc3Pb2
Method: DFT, PBE-GGA
State: optimized geometry

Lattice parameters (Å, degrees): 4.7076 8.4021 8.9770 117.90 105.20 90.00
Site moments in Bohr magnetons follow the coordinates.
Element x y z (fractional)
1 Tm 0.0000 0.5000 0.0000  0.20
2 Tm 0.0000 0.0000 0.0000  0.20
3 Sc 0.5000 0.2500 0.0000  0.23
4 Sc 0.5000 0.7500 0.0000  0.23
5 Sc 0.8249 0.0749 0.6498  0.22
6 Sc 0.1751 0.4251 0.3502  0.22
7 Sc 0.1751 0.9251 0.3502  0.22
8 Sc 0.8249 0.5749 0.6498  0.22
9 Pb 0.3482 0.3483 0.6965  -0.02
10 Pb 0.6517 0.1517 0.3035  -0.02
11 Pb 0.3483 0.8483 0.6965  -0.02
12 Pb 0.6518 0.6517 0.3035  -0.02

Summary:
**Volume**: 24.97 Å³ per atom
**Total magnetic moment**: 2.38 Bohr magnetons per cell

***

Most stable to least stable, the ends of the list are a and b.

***

a.
Material: Tm2ScPb2
Method: DFT, PBE-GGA
State: optimized geometry

Lattice parameters (Å, degrees): 4.4019 6.4449 10.0897 90.00 90.00 90.00
Element x y z (fractional)
1 Tm 0.0000 0.7500 0.6591
2 Tm 0.0000 0.2500 0.3409
3 Tm 0.5000 0.7500 0.2274
4 Tm 0.5000 0.2500 0.7726
5 Sc 0.0000 0.0000 0.0000
6 Sc 0.0000 0.5000 0.0000
7 Pb 0.5000 0.7500 0.8832
8 Pb 0.5000 0.2500 0.1168
9 Pb 0.5000 0.5000 0.5000
10 Pb 0.5000 0.0000 0.5000

Summary:
**Volume**: 28.62 Å³ per atom
**Total magnetic moment**: 0.00 Bohr magnetons per cell

***

b.
Material: Tm2ScPb2
Method: DFT, PBE-GGA
State: optimized geometry

Lattice parameters (Å, degrees): 4.9325 6.4028 9.0675 90.00 105.78 90.00
Element x y z (fractional)
1 Tm 0.9998 0.7272 0.9997
2 Tm 0.8066 0.4760 0.6131
3 Tm 0.1934 0.9760 0.3869
4 Tm 0.0002 0.2272 0.0003
5 Sc 0.3981 0.9778 0.7961
6 Sc 0.6019 0.4778 0.2039
7 Pb 0.4223 0.4773 0.8446
8 Pb 0.8122 0.9761 0.6244
9 Pb 0.1878 0.4761 0.3756
10 Pb 0.5777 0.9773 0.1554

Summary:
**Volume**: 27.56 Å³ per atom
**Total magnetic moment**: 0.00 Bohr magnetons per cell

***

Most stable to least stable, the ends of the list are b and a.

***

a.
Material: ScPb2W
Method: DFT, PBE-GGA
State: optimized geometry

Lattice parameters (Å, degrees): 4.9529 3.2386 5.9462 73.13 90.00 90.00
Site moments in Bohr magnetons follow the coordinates.
Element x y z (fractional)
1 Pb 0.0000 0.9342 0.9640  0.00
2 Pb 0.5000 0.2564 0.2784  0.00
3 Sc 0.0000 0.5932 0.5069  0.08
4 W 0.5000 0.7161 0.7507  0.05

Summary:
**Volume**: 22.82 Å³ per atom
**Total magnetic moment**: 0.18 Bohr magnetons per cell

***

b.
Material: ScPb2W
Method: DFT, PBE-GGA
State: optimized geometry

Lattice parameters (Å, degrees): 6.3903 5.3902 3.3125 80.89 75.45 121.04
Element x y z (fractional)
1 Pb 0.0000 0.0000 0.0000
2 Pb 0.5000 0.0000 0.5000
3 Sc 0.0000 0.5000 0.5000
4 W 0.5000 0.5000 0.0000

Summary:
**Volume**: 22.19 Å³ per atom
**Total magnetic moment**: 0.00 Bohr magnetons per cell

***

c.
Material: ScPb2W
Method: DFT, PBE-GGA
State: optimized geometry

Lattice parameters (Å, degrees): 4.8713 3.1925 5.7990 86.99 90.00 90.00
Element x y z (fractional)
1 Pb 0.0000 0.9410 0.9973
2 Pb 0.0000 0.5590 0.5027
3 Sc 0.5000 0.2500 0.2500
4 W 0.5000 0.7500 0.7500

Summary:
**Volume**: 22.51 Å³ per atom
**Total magnetic moment**: 0.00 Bohr magnetons per cell

***

d.
Material: ScPb2W
Method: DFT, PBE-GGA
State: optimized geometry

Lattice parameters (Å, degrees): 3.6226 5.2597 4.6644 90.00 90.00 90.00
Element x y z (fractional)
1 Pb 0.0000 0.0000 0.0000
2 Pb 0.5000 0.5000 0.0000
3 Sc 0.5000 0.0000 0.5000
4 W 0.0000 0.5000 0.5000

Summary:
**Volume**: 22.22 Å³ per atom
**Total magnetic moment**: 0.00 Bohr magnetons per cell

***

Most stable to least stable, the ends of the list are c and b.

***

a.
Material: ScPb2W
Method: DFT, PBE-GGA
State: optimized geometry

Lattice parameters (Å, degrees): 3.0756 3.0756 11.0027 90.00 90.00 105.40
Element x y z (fractional)
1 Pb 0.0000 0.0000 0.9450
2 Pb 0.5000 0.5000 0.2892
3 Sc 0.0000 0.0000 0.5370
4 W 0.5000 0.5000 0.7288

Summary:
**Volume**: 25.09 Å³ per atom
**Total magnetic moment**: 0.00 Bohr magnetons per cell

***

b.
Material: ScPb2W
Method: DFT, PBE-GGA
State: optimized geometry

Lattice parameters (Å, degrees): 11.0681 11.0681 11.0681 16.66 16.66 16.66
Element x y z (fractional)
1 Pb 0.0125 0.0125 0.0125
2 Pb 0.2419 0.2419 0.2419
3 Sc 0.4898 0.4898 0.4898
4 W 0.7557 0.7557 0.7557

Summary:
**Volume**: 24.30 Å³ per atom
**Total magnetic moment**: 0.00 Bohr magnetons per cell

***

Most stable to least stable, the ends of the list are a and b.